Entry 1:
DFT (GGA-PBE) results for a geometry-optimized Ta4C2N structure.

## Properties
As for the total energy: -11.307 eV/atom. The calculation puts the density of states at the Fermi level at 3.0 states/eV/cell. Its energy relative to the elements, uncorrected is -709 meV/atom. The value obtained for the total moment is 0.0 μB per cell.

Lattice parameters (Å, degrees): 10.260 10.260 10.260 17.67 17.67 17.67
Fractional positions:
Ta 0.125 0.125 0.125
Ta 0.288 0.288 0.288
Ta 0.712 0.712 0.712
Ta 0.875 0.875 0.875
C 0.419 0.419 0.419
C 0.581 0.581 0.581
N 0.000 0.000 0.000


Entry 2:
DFT (GGA-PBE) results for a geometry-optimized Ta2CN2 structure.

## Properties
As for the total energy: -10.531 eV/atom. Its energy relative to the elements, uncorrected is -615 meV/atom. The value obtained for the total moment is 0.0 μB per cell.

Lattice parameters (Å, degrees): 8.432 8.432 8.432 21.62 21.62 21.62
Fractional positions:
Ta 0.110 0.110 0.110
Ta 0.890 0.890 0.890
C 0.500 0.500 0.500
N 0.259 0.259 0.259
N 0.741 0.741 0.741


Entry 3:
DFT (GGA-PBE) results for a geometry-optimized Ta4CN5 structure.

## Properties
As for the total energy: -10.658 eV/atom. The calculation puts the density of states at the Fermi level at 1.4 states/eV/cell. Its energy relative to the elements, uncorrected is -832 meV/atom. The value obtained for the total moment is 0.0 μB per cell.

Lattice parameters (Å, degrees): 6.745 6.745 6.279 105.19 105.19 26.74
Fractional positions:
Ta 0.006 0.006 0.235
Ta 0.322 0.322 0.368
Ta 0.678 0.678 0.632
Ta 0.994 0.994 0.765
C 0.500 0.500 0.500
N 0.159 0.159 0.815
N 0.166 0.166 0.370
N 0.500 0.500 0.000
N 0.834 0.834 0.630
N 0.841 0.841 0.185


Entry 4:
DFT (GGA-PBE) results for a geometry-optimized Ta6CN structure.

## Properties
As for the total energy: -11.571 eV/atom. The calculation puts the density of states at the Fermi level at 12.0 states/eV/cell. Its energy relative to the elements, uncorrected is -488 meV/atom. The value obtained for the total moment is 0.0 μB per cell.

Lattice parameters (Å, degrees): 5.279 5.279 10.035 90.00 90.00 120.00
Fractional positions:
Ta 0.000 0.333 0.124
Ta 0.000 0.334 0.624
Ta 0.000 0.666 0.376
Ta 0.000 0.667 0.876
Ta 0.333 0.000 0.624
Ta 0.333 0.334 0.876
Ta 0.334 0.000 0.124
Ta 0.334 0.333 0.376
Ta 0.666 0.000 0.876
Ta 0.666 0.667 0.624
Ta 0.667 0.000 0.376
Ta 0.667 0.666 0.124
C 0.333 0.667 0.250
C 0.667 0.333 0.750
N 0.000 0.000 0.000
N 0.000 0.000 0.500


Entry 5:
DFT (GGA-PBE) results for a geometry-optimized Ta4CN structure.

## Properties
As for the total energy: -11.264 eV/atom. The calculation puts the density of states at the Fermi level at 4.1 states/eV/cell. Its energy relative to the elements, uncorrected is -438 meV/atom. The value obtained for the total moment is 0.0 μB per cell.

Lattice parameters (Å, degrees): 5.450 5.460 5.459 90.00 90.70 90.00
Fractional positions:
Ta 0.145 0.143 0.152
Ta 0.145 0.357 0.652
Ta 0.352 0.645 0.139
Ta 0.352 0.855 0.639
Ta 0.648 0.145 0.361
Ta 0.648 0.355 0.861
Ta 0.855 0.643 0.348
Ta 0.855 0.857 0.848
C 0.500 0.000 0.000
C 0.500 0.500 0.500
N 0.000 0.000 0.500
N 0.000 0.500 0.000


Entry 6:
DFT (GGA-PBE) results for a geometry-optimized Ta6C2N structure.

## Properties
As for the total energy: -11.439 eV/atom. The calculation puts the density of states at the Fermi level at 12.1 states/eV/cell. Its energy relative to the elements, uncorrected is -563 meV/atom. The value obtained for the total moment is 0.0 μB per cell.

Lattice parameters (Å, degrees): 5.168 5.168 9.466 90.00 90.00 90.00
Fractional positions:
Ta 0.207 0.207 0.000
Ta 0.207 0.207 0.334
Ta 0.207 0.207 0.666
Ta 0.293 0.707 0.166
Ta 0.293 0.707 0.500
Ta 0.293 0.707 0.834
Ta 0.707 0.293 0.166
Ta 0.707 0.293 0.500
Ta 0.707 0.293 0.834
Ta 0.793 0.793 0.000
Ta 0.793 0.793 0.334
Ta 0.793 0.793 0.666
C 0.000 0.000 0.166
C 0.000 0.000 0.834
C 0.500 0.500 0.334
C 0.500 0.500 0.666
N 0.000 0.000 0.500
N 0.500 0.500 0.000


Entry 7:
DFT (GGA-PBE) results for a geometry-optimized TaCN2 structure.

## Properties
As for the total energy: -8.725 eV/atom. The calculation puts the density of states at the Fermi level at 1.8 states/eV/cell. Its energy relative to the elements, uncorrected is 707 meV/atom. The value obtained for the total moment is 0.0 μB per cell.

Lattice parameters (Å, degrees): 4.651 4.651 4.651 120.97 120.97 88.33
Fractional positions:
Ta 0.000 0.000 0.000
Ta 0.750 0.250 0.500
C 0.250 0.750 0.500
C 0.500 0.500 0.000
N 0.246 0.625 0.121
N 0.375 0.496 0.621
N 0.504 0.125 0.879
N 0.875 0.754 0.379


Entry 8:
DFT (GGA-PBE) results for a geometry-optimized TaTeCN2 structure.

## Properties
As for the total energy: -5.949 eV/atom. The calculation puts the density of states at the Fermi level at 1.9 states/eV/cell. Its energy relative to the elements, uncorrected is 2225 meV/atom. The value obtained for the total moment is 0.0 μB per cell.

Lattice parameters (Å, degrees): 3.908 3.908 4.148 90.00 90.00 90.00
Fractional positions:
Ta 0.000 0.000 0.000
Te 0.500 0.500 0.000
C 0.500 0.500 0.500
N 0.000 0.500 0.500
N 0.500 0.000 0.500


> Which formula does entry 5 have?

Ta4CN